Entry 1:
Computed, not measured: an optimized crystal structure of HfAlAg at the PBE-GGA level of DFT.

Unit cell a=4.313 b=3.248 c=8.031 alpha=90.00 beta=90.00 gamma=90.00
Sites, in units of the cell vectors:
Hf  0.387  0.988  0.841
Hf  0.887  0.488  0.059
Al  0.887  0.988  0.410
Al  0.887  0.488  0.706
Ag  0.387  0.987  0.210
Ag  0.387  0.487  0.509

Summary:
- total moment (Bohr magnetons per cell) = 0.0
- electronic total energy (eV/atom) = -5.67
- E_form (meV/atom) = -152


Entry 2:
Computed, not measured: an optimized crystal structure of Mo2INCl at the PBE-GGA level of DFT.

Unit cell a=5.331 b=4.130 c=5.331 alpha=90.00 beta=90.00 gamma=90.00
Site moments in Bohr magnetons follow the coordinates.
Sites, in units of the cell vectors:
I  0.000  0.000  0.000  -0.08
Mo  0.000  0.000  0.500  3.10
Mo  0.500  0.000  0.000  3.08
N  0.000  0.500  0.000  -0.10
Cl  0.500  0.500  0.500  0.09

Summary:
- total moment (Bohr magnetons per cell) = 7.2
- electronic total energy (eV/atom) = -4.54


Entry 3:
Computed, not measured: an optimized crystal structure of La5TbSm2 at the PBE-GGA level of DFT.

Unit cell a=5.719 b=6.730 c=16.667 alpha=90.00 beta=90.00 gamma=115.14
Sites, in units of the cell vectors:
La  0.924  0.847  0.906
La  0.924  0.847  0.594
La  0.385  0.770  0.447
La  0.385  0.770  0.053
La  0.533  0.066  0.250
La  0.467  0.934  0.750
La  0.615  0.230  0.553
La  0.615  0.230  0.947
La  0.076  0.153  0.094
La  0.076  0.153  0.406
Tb  0.749  0.498  0.750
Tb  0.251  0.502  0.250
Sm  0.774  0.549  0.366
Sm  0.774  0.549  0.134
Sm  0.226  0.451  0.634
Sm  0.226  0.451  0.866

Summary:
- total moment (Bohr magnetons per cell) = 0.0
- electronic total energy (eV/atom) = -4.73
- E_form (meV/atom) = 108


Entry 4:
Computed, not measured: an optimized crystal structure of NaTlSiO4 at the PBE-GGA level of DFT.

Unit cell a=5.687 b=5.687 c=6.479 alpha=90.00 beta=90.00 gamma=114.82
Sites, in units of the cell vectors:
Na  0.500  0.500  0.500
Na  0.500  0.500  0.000
Tl  0.835  0.165  0.250
Tl  0.165  0.835  0.750
Si  0.137  0.863  0.250
Si  0.863  0.137  0.750
O  0.181  0.247  0.750
O  0.753  0.819  0.750
O  0.751  0.249  0.947
O  0.751  0.249  0.553
O  0.249  0.751  0.053
O  0.249  0.751  0.447
O  0.819  0.753  0.250
O  0.247  0.181  0.250

Summary:
- total moment (Bohr magnetons per cell) = 0.0
- electronic total energy (eV/atom) = -5.92


Entry 5:
Computed, not measured: an optimized crystal structure of MgTe at the PBE-GGA level of DFT.

Unit cell a=8.089 b=8.089 c=4.044 alpha=90.00 beta=90.00 gamma=133.80
Sites, in units of the cell vectors:
Mg  0.000  0.000  0.000
Mg  0.351  0.649  0.500
Mg  0.649  0.351  0.500
Te  0.000  0.500  0.000
Te  0.500  0.000  0.000
Te  0.500  0.500  0.000

Summary:
- total moment (Bohr magnetons per cell) = 0.0
- electronic total energy (eV/atom) = -2.69


Entry 6:
Computed, not measured: an optimized crystal structure of LaNdErTm3 at the PBE-GGA level of DFT.

Unit cell a=5.799 b=6.489 c=11.604 alpha=90.00 beta=90.00 gamma=116.54
Sites, in units of the cell vectors:
La  0.502  0.004  0.750
La  0.498  0.996  0.250
Nd  0.000  0.000  0.500
Nd  0.000  0.000  0.000
Er  0.825  0.651  0.750
Er  0.175  0.349  0.250
Tm  0.676  0.352  0.498
Tm  0.324  0.648  0.502
Tm  0.324  0.648  0.998
Tm  0.676  0.352  0.002
Tm  0.173  0.346  0.750
Tm  0.827  0.654  0.250

Summary:
- total moment (Bohr magnetons per cell) = 0.0
- electronic total energy (eV/atom) = -4.51
- E_form (meV/atom) = 105